Entry a
A plane-wave DFT calculation with PBE-GGA was carried out for a relaxed structure of LaTiF2.

Structure (extended XYZ):
```
4
Lattice="1.899 0.000 7.675 -0.950 1.645 7.675 -0.950 -1.645 7.675" Properties=species:S:1:pos:R:3 pbc="T T T"
F 0.000 0.000 20.984
F 0.000 0.000 2.040
Ti 0.000 0.000 0.000
La 0.000 0.000 11.512
```

Output
SG ... R-3m, No. 166

Entry b
A plane-wave DFT calculation with PBE-GGA was carried out for a relaxed structure of LaTiF2.

Structure (extended XYZ):
```
4
Lattice="0.000 3.263 3.263 3.263 0.000 3.263 3.263 3.263 0.000" Properties=species:S:1:pos:R:3 pbc="T T T"
F 1.632 1.632 1.632
F 4.895 4.895 4.895
Ti 0.000 0.000 0.000
La 3.263 3.263 3.263
```

Output
SG ... Fm-3m, No. 225

The least stable of them is entry b.

Entry a
A plane-wave DFT calculation with PBE-GGA was carried out for a relaxed structure of LaTi3F.

Structure (extended XYZ):
```
5
Lattice="4.858 0.000 0.000 0.000 4.858 0.000 0.000 0.000 4.858" Properties=species:S:1:pos:R:3 pbc="T T T"
F 2.429 2.429 2.429
Ti 0.000 2.429 0.000
Ti 0.000 0.000 2.429
Ti 2.429 0.000 0.000
La 0.000 0.000 0.000
```

Output
SG ... Pm-3m, No. 221

Entry b
A plane-wave DFT calculation with PBE-GGA was carried out for a relaxed structure of LaTi3F.

Structure (extended XYZ):
```
5
Lattice="4.507 0.000 0.000 0.000 4.507 0.000 0.000 0.000 4.507" Properties=species:S:1:pos:R:3 pbc="T T T"
F 0.000 0.000 0.000
Ti 0.000 2.254 0.000
Ti 0.000 0.000 2.254
Ti 2.254 0.000 0.000
La 2.254 2.254 2.254
```

Output
SG ... Pm-3m, No. 221

The least stable of them is entry a.

Entry a
A plane-wave DFT calculation with PBE-GGA was carried out for a relaxed structure of LaTiF3.

Structure (extended XYZ):
```
5
Lattice="-1.549 -3.138 -2.491 -0.344 -2.557 3.435 -3.992 1.438 0.670" Properties=species:S:1:pos:R:3 pbc="T T T"
F -0.172 -1.278 1.718
F -1.996 0.719 0.335
F -0.775 -1.569 -1.245
La -2.943 -2.128 0.807
Ti 0.000 0.000 0.000
```

Output
SG ... Pm-3m, No. 221

Entry b
A plane-wave DFT calculation with PBE-GGA was carried out for a relaxed structure of LaTiF3.

Structure (extended XYZ):
```
5
Lattice="-3.901 0.290 -2.693 -2.703 -0.116 3.903 0.173 4.738 0.261" Properties=species:S:1:pos:R:3 pbc="T T T"
F -1.351 -0.058 1.952
F 0.086 2.369 0.130
F -1.950 0.145 -1.346
La 0.000 0.000 0.000
Ti -3.215 2.456 0.735
```

Output
SG ... Pm-3m, No. 221

The least stable of them is entry b.

Entry a
A plane-wave DFT calculation with PBE-GGA was carried out for a relaxed structure of LaTlF3.

Structure (extended XYZ):
```
5
Lattice="-2.811 3.415 1.893 -0.891 -2.831 3.787 3.802 1.862 2.286" Properties=species:S:1:pos:R:3 pbc="T T T"
Tl 0.000 0.000 0.000
F -0.445 -1.416 1.893
F 1.901 0.931 1.143
F -1.406 1.708 0.946
La 0.050 1.223 3.983
```

Output
SG ... Pm-3m, No. 221

Entry b
A plane-wave DFT calculation with PBE-GGA was carried out for a relaxed structure of LaTlF3.

Structure (extended XYZ):
```
5
Lattice="-3.756 -2.308 -1.501 2.168 -4.045 0.793 -1.696 -0.059 4.337" Properties=species:S:1:pos:R:3 pbc="T T T"
Tl -1.642 -3.206 1.815
F 1.084 -2.022 0.397
F -0.848 -0.029 2.168
F -1.878 -1.154 -0.750
La 0.000 0.000 0.000
```

Output
SG ... Pm-3m, No. 221

The least stable of them is entry a.

Entry a
A plane-wave DFT calculation with PBE-GGA was carried out for a relaxed structure of LaTl2F2.

Structure (extended XYZ):
```
5
Lattice="-1.604 3.730 -0.100 -0.169 0.036 4.058 5.611 4.683 2.225" Properties=species:S:1:pos:R:3 pbc="T T T"
Tl 0.944 2.672 2.048
Tl 2.894 5.777 4.134
F 1.560 5.148 2.052
F 2.278 3.301 4.131
La 0.000 0.000 0.000
```

Output
SG ... I4/mmm, No. 139

Entry b
A plane-wave DFT calculation with PBE-GGA was carried out for a relaxed structure of LaTl2F2.

Structure (extended XYZ):
```
10
Lattice="-6.921 0.792 4.724 0.426 -8.167 1.992 1.913 0.752 2.676" Properties=species:S:1:pos:R:3 pbc="T T T"
Tl -2.191 -6.813 3.482
Tl -5.754 -4.456 5.366
Tl -4.305 -0.562 3.235
Tl -0.742 -2.920 1.351
F -0.116 -5.166 3.663
F -3.532 -5.623 6.233
F -4.468 -1.457 5.730
F -1.051 -1.000 3.160
La 0.000 0.000 0.000
La -3.248 -3.688 3.358
```

Output
SG ... P4/mbm, No. 127

The least stable of them is entry b.